(1)
Ba3TbSn8 PBE-GGA relaxed; total magnetization = 0.0000 μB/atom; E_tot = -3.759 eV per atom; E_form = -0.224 eV per atom; crystal system = tetragonal; DOS(E_F) = 6.4 states/eV per cell
1.0
-4.8220 4.8220 5.1405
4.8220 -4.8220 5.1405
4.8220 4.8220 -5.1405
Ba Tb Sn
3 1 8
direct
0.0000 0.0000 0.0000
0.2500 0.7500 0.5000
0.7500 0.2500 0.5000
0.5000 0.5000 0.0000
0.1334 0.1334 0.6929
0.2008 0.6399 0.0000
0.3601 0.3601 0.5609
0.4405 0.4405 0.3071
0.5595 0.8666 0.0000
0.6399 0.2008 0.0000
0.7992 0.7992 0.4391
0.8666 0.5595 0.0000

---

(2)
In2PbBr PBE-GGA relaxed; total magnetization = 0.0000 μB/atom; E_tot = -2.936 eV per atom; crystal system = monoclinic; formation energy without anion corrections = -0.222 eV per atom; energy above the most stable polymorph in this dataset = 0.000 eV per atom; DOS(E_F) = 1.1 states/eV per cell
1.0
6.0690 -1.7786 0.0000
6.0690 1.7786 0.0000
-0.0039 0.0000 5.6437
In Pb Br
2 1 1
direct
0.0000 0.0000 0.0000
0.7366 0.7366 0.4971
0.2664 0.2664 0.9970
0.4921 0.4921 0.4978

---

(3)
CsSrH6Au2 PBE-GGA relaxed; total magnetization = 0.0000 μB/atom; E_tot = -3.106 eV per atom; crystal system = monoclinic; DOS(E_F) = 3.0 states/eV per cell
1.0
4.8106 -4.9904 0.0000
4.8106 4.9904 0.0000
-0.8091 0.0000 7.0159
Cs Sr H Au
2 2 12 4
direct
0.1134 0.8866 0.7500
0.8866 0.1134 0.2500
0.4050 0.5950 0.2500
0.5950 0.4050 0.7500
0.0747 0.7371 0.1855
0.2246 0.3203 0.6400
0.2629 0.9253 0.3145
0.3203 0.2246 0.1400
0.3217 0.5568 0.9121
0.4432 0.6783 0.5879
0.5568 0.3217 0.4121
0.6783 0.4432 0.0879
0.6797 0.7754 0.8600
0.7371 0.0747 0.6855
0.7754 0.6797 0.3600
0.9253 0.2629 0.8145
0.1238 0.4043 0.8573
0.4043 0.1238 0.3573
0.5957 0.8762 0.6427
0.8762 0.5957 0.1427

---

(4)
Ba6MgGa2 PBE-GGA relaxed; total magnetization = 0.1289 μB/atom; E_tot = -2.284 eV per atom; E_form = -0.152 eV per atom; crystal system = orthorhombic; DOS(E_F) = 28.2 states/eV per cell
1.0
-5.7806 5.7949 6.1909
5.7806 -5.7949 6.1909
5.7806 5.7949 -6.1909
Ba Mg Ga
12 2 4
direct
0.0528 0.2443 0.8085
0.1802 0.2776 0.4579
0.1802 0.7224 0.9026
0.3319 0.0082 0.6762
0.3319 0.6557 0.3238
0.4358 0.2443 0.1915
0.5642 0.7557 0.8085
0.6681 0.3443 0.6762
0.6681 0.9918 0.3238
0.8198 0.2776 0.0974
0.8198 0.7224 0.5421
0.9472 0.7557 0.1915
0.0000 0.0000 0.0000
0.5000 0.5000 0.0000
0.1044 0.6044 0.5000
0.3309 0.0000 0.3309
0.6691 0.0000 0.6691
0.8956 0.3956 0.5000

---

(5)
La8IrPd2Ru PBE-GGA relaxed; total magnetization = 0.0000 μB/atom; E_tot = -6.121 eV per atom; E_form = -0.459 eV per atom; crystal system = monoclinic; DOS(E_F) = 11.7 states/eV per cell
1.0
6.8469 0.0000 0.0000
0.0000 8.5432 0.0000
-0.1784 0.0000 6.9003
La Ir Pd Ru
8 1 2 1
direct
0.1561 0.0000 0.2557
0.1592 0.5000 0.2580
0.3440 0.2536 0.7277
0.3440 0.7464 0.7277
0.6560 0.2536 0.2723
0.6560 0.7464 0.2723
0.8408 0.5000 0.7420
0.8439 0.0000 0.7443
0.5000 0.0000 0.5000
0.0000 0.2507 0.0000
0.0000 0.7493 0.0000
0.5000 0.5000 0.5000

---

(6)
Ga2Ge2Pt PBE-GGA relaxed; total magnetization = 0.0000 μB/atom; E_tot = -4.349 eV per atom; E_form = -0.083 eV per atom; crystal system = tetragonal; energy above the most stable polymorph in this dataset = 0.000 eV per atom; DOS(E_F) = 2.9 states/eV per cell
1.0
6.4239 0.0000 0.0000
0.0000 6.4239 0.0000
0.0000 0.0000 4.6865
Ga Ge Pt
4 4 2
direct
0.1726 0.3274 0.0000
0.3274 0.8274 0.0000
0.6726 0.1726 0.0000
0.8274 0.6726 0.0000
0.1400 0.6400 0.5000
0.3600 0.1400 0.5000
0.6400 0.8600 0.5000
0.8600 0.3600 0.5000
0.0000 0.0000 0.5000
0.5000 0.5000 0.5000

---

(7)
Pm4Sm10Tm PBE-GGA relaxed; total magnetization = 0.0000 μB/atom; E_tot = -4.476 eV per atom; E_form = 0.235 eV per atom; crystal system = tetragonal; DOS(E_F) = 21.9 states/eV per cell
1.0
-5.7378 5.7378 3.9589
5.7378 -5.7378 3.9589
5.7378 5.7378 -3.9589
Pm Sm Tm
4 10 1
direct
0.2291 0.2291 0.4582
0.2291 0.7709 0.0000
0.7709 0.2291 0.0000
0.7709 0.7709 0.5418
0.0786 0.2894 0.7893
0.2500 0.7500 0.5000
0.2894 0.0786 0.7893
0.2894 0.5001 0.2107
0.5001 0.2894 0.2107
0.4999 0.7106 0.7893
0.7106 0.4999 0.7893
0.7106 0.9214 0.2107
0.7500 0.2500 0.5000
0.9214 0.7106 0.2107
0.0000 0.0000 0.0000

---

(8)
Ac3MgAl PBE-GGA relaxed; total magnetization = 0.1173 μB/atom; E_tot = -3.582 eV per atom; E_form = -0.049 eV per atom; crystal system = cubic; energy above the most stable polymorph in this dataset = 0.060 eV per atom; DOS(E_F) = 14.9 states/eV per cell
1.0
8.1096 0.0000 0.0000
0.0000 8.1096 0.0000
0.0000 0.0000 8.1096
Ac Mg Al
9 3 3
direct
0.0000 0.0000 0.0000
0.2661 0.2661 0.2661
0.2661 0.2661 0.7339
0.2661 0.7339 0.2661
0.2661 0.7339 0.7339
0.7339 0.2661 0.2661
0.7339 0.2661 0.7339
0.7339 0.7339 0.2661
0.7339 0.7339 0.7339
0.0000 0.0000 0.5000
0.0000 0.5000 0.0000
0.5000 0.0000 0.0000
0.0000 0.5000 0.5000
0.5000 0.0000 0.5000
0.5000 0.5000 0.0000

---

(9)
NiRh2Au PBE-GGA relaxed; total magnetization = 0.4573 μB/atom; E_tot = -5.787 eV per atom; E_form = 0.154 eV per atom; crystal system = tetragonal; energy above the most stable polymorph in this dataset = 0.057 eV per atom; DOS(E_F) = 7.2 states/eV per cell
1.0
-1.9366 1.9366 3.8633
1.9366 -1.9366 3.8633
1.9366 1.9366 -3.8633
Ni Rh Au
1 2 1
direct
0.0000 0.0000 0.0000
0.2500 0.7500 0.5000
0.5000 0.5000 0.0000
0.7500 0.2500 0.5000

---

(10)
YTmSc4 PBE-GGA relaxed; total magnetization = 0.0000 μB/atom; E_tot = -5.979 eV per atom; E_form = 0.065 eV per atom; crystal system = orthorhombic; energy above the most stable polymorph in this dataset = 0.003 eV per atom; DOS(E_F) = 13.2 states/eV per cell
1.0
3.3088 0.0000 0.0000
0.0000 5.2734 0.0000
0.0000 0.0000 9.1457
Y Tm Sc
1 1 4
direct
0.0000 0.0000 0.0000
0.0000 0.5000 0.5000
0.5000 0.0000 0.3351
0.5000 0.0000 0.6649
0.5000 0.5000 0.1684
0.5000 0.5000 0.8316

---

(11)
CePmDyHf PBE-GGA relaxed; total magnetization = 0.1413 μB/atom; E_tot = -6.036 eV per atom; E_form = 0.274 eV per atom; crystal system = cubic; DOS(E_F) = 8.7 states/eV per cell
1.0
0.0000 3.8567 3.8567
3.8567 0.0000 3.8567
3.8567 3.8567 0.0000
Ce Pm Dy Hf
1 1 1 1
direct
0.0000 0.0000 0.0000
0.5000 0.5000 0.5000
0.7500 0.7500 0.7500
0.2500 0.2500 0.2500

---

(12)
BaZrTa2Mo PBE-GGA relaxed; total magnetization = 0.0000 μB/atom; E_tot = -6.042 eV per atom; E_form = 2.960 eV per atom; crystal system = tetragonal; DOS(E_F) = 8.5 states/eV per cell
1.0
5.0132 0.0000 0.0000
0.0000 5.0132 0.0000
0.0000 0.0000 5.0934
Ba Zr Ta Mo
1 1 2 1
direct
0.0000 0.0000 0.0000
0.0000 0.0000 0.5000
0.0000 0.5000 0.0000
0.5000 0.0000 0.0000
0.5000 0.5000 0.5000

---

(13)
Ti2ZnSn2O7 PBE-GGA relaxed; total magnetization = 0.0000 μB/atom; E_tot = -7.099 eV per atom; crystal system = monoclinic; formation energy without anion corrections = -2.118 eV per atom; DOS(E_F) = 0.0 states/eV per cell
1.0
4.5442 -5.4190 0.0000
4.5442 5.4190 0.0000
-3.5109 0.0000 8.5348
Ti Zn Sn O
4 2 4 14
direct
0.1014 0.6698 0.8715
0.3302 0.8986 0.6285
0.6698 0.1014 0.3715
0.8986 0.3302 0.1285
0.2366 0.7634 0.2500
0.7634 0.2366 0.7500
0.2652 0.2778 0.0159
0.2778 0.2652 0.5159
0.7222 0.7348 0.4841
0.7348 0.7222 0.9841
0.0810 0.8173 0.0603
0.1675 0.4648 0.2101
0.1738 0.8262 0.7500
0.1827 0.9190 0.4397
0.2574 0.4998 0.9013
0.4648 0.1675 0.7101
0.4998 0.2574 0.4013
0.5002 0.7426 0.5987
0.5352 0.8325 0.2899
0.7426 0.5002 0.0987
0.8173 0.0810 0.5603
0.8262 0.1738 0.2500
0.8325 0.5352 0.7899
0.9190 0.1827 0.9397

---

(14)
Ca4AgCl PBE-GGA relaxed; total magnetization = 0.1537 μB/atom; E_tot = -1.973 eV per atom; crystal system = cubic; formation energy without anion corrections = 0.144 eV per atom; DOS(E_F) = 7.2 states/eV per cell
1.0
0.0000 4.8836 4.8836
4.8836 0.0000 4.8836
4.8836 4.8836 0.0000
Ca Ag Cl
4 1 1
direct
0.3759 0.3759 0.3759
0.3759 0.3759 0.8724
0.3759 0.8724 0.3759
0.8724 0.3759 0.3759
0.7500 0.7500 0.7500
0.0000 0.0000 0.0000

---

(15)
AcGaCu3 PBE-GGA relaxed; total magnetization = 0.0000 μB/atom; E_tot = -4.124 eV per atom; E_form = -0.239 eV per atom; crystal system = tetragonal; energy above the most stable polymorph in this dataset = 0.000 eV per atom; DOS(E_F) = 3.7 states/eV per cell
1.0
-2.2503 2.2503 4.7231
2.2503 -2.2503 4.7231
2.2503 2.2503 -4.7231
Ac Ga Cu
1 1 3
direct
0.0000 0.0000 0.0000
0.3651 0.3651 0.0000
0.2501 0.7501 0.5000
0.6293 0.6293 0.0000
0.7501 0.2501 0.5000

---

(16)
Li2PuTl3O6 PBE-GGA relaxed; total magnetization = 0.0850 μB/atom; E_tot = -6.202 eV per atom; crystal system = monoclinic; formation energy without anion corrections = -1.618 eV per atom
1.0
2.8936 -5.3734 0.0000
2.8936 5.3734 0.0000
-0.9817 0.0000 6.3583
Li Pu Tl O
2 1 3 6
direct
0.2124 0.7876 0.0000
0.7876 0.2124 0.0000
0.5000 0.5000 0.0000
0.0000 0.0000 0.5000
0.3245 0.6755 0.5000
0.6755 0.3245 0.5000
0.1481 0.4207 0.8744
0.3439 0.3439 0.2707
0.4207 0.1481 0.8744
0.5793 0.8519 0.1256
0.6561 0.6561 0.7293
0.8519 0.5793 0.1256

---

(17)
Pr2Sc PBE-GGA relaxed; total magnetization = 0.0000 μB/atom; E_tot = -4.663 eV per atom; E_form = 0.634 eV per atom; crystal system = cubic; energy above the most stable polymorph in this dataset = 0.587 eV per atom; DOS(E_F) = 5.2 states/eV per cell
1.0
0.0000 3.8354 3.8354
3.8354 0.0000 3.8354
3.8354 3.8354 0.0000
Pr Sc
2 1
direct
0.2500 0.2500 0.2500
0.7500 0.7500 0.7500
0.0000 0.0000 0.0000

---

(18)
Be4InTc PBE-GGA relaxed; total magnetization = 0.0005 μB/atom; E_tot = -4.630 eV per atom; E_form = 0.038 eV per atom; crystal system = cubic; DOS(E_F) = 5.3 states/eV per cell
1.0
0.0000 3.2126 3.2126
3.2126 0.0000 3.2126
3.2126 3.2126 0.0000
Be In Tc
4 1 1
direct
0.3792 0.3792 0.3792
0.3792 0.3792 0.8624
0.3792 0.8624 0.3792
0.8624 0.3792 0.3792
0.0000 0.0000 0.0000
0.7500 0.7500 0.7500

---

(19)
NdHoHfTh PBE-GGA relaxed; total magnetization = 0.0001 μB/atom; E_tot = -6.469 eV per atom; E_form = 0.211 eV per atom; crystal system = cubic; DOS(E_F) = 5.2 states/eV per cell
1.0
0.0000 3.8872 3.8872
3.8872 0.0000 3.8872
3.8872 3.8872 0.0000
Nd Ho Hf Th
1 1 1 1
direct
0.0000 0.0000 0.0000
0.2500 0.2500 0.2500
0.7500 0.7500 0.7500
0.5000 0.5000 0.5000

---

(20)
NiMo2I PBE-GGA relaxed; total magnetization = 0.0000 μB/atom; E_tot = -6.406 eV per atom; crystal system = tetragonal; formation energy without anion corrections = 0.842 eV per atom; energy above the most stable polymorph in this dataset = 0.071 eV per atom; DOS(E_F) = 6.1 states/eV per cell
1.0
-1.8692 1.8692 10.0108
1.8692 -1.8692 10.0108
1.8692 1.8692 -10.0108
Ni Mo I
2 4 2
direct
0.0000 0.0000 0.0000
0.7500 0.2500 0.5000
0.0994 0.6250 0.9744
0.3750 0.3494 0.4744
0.6506 0.1250 0.0256
0.8750 0.9006 0.5256
0.2500 0.7500 0.5000
0.5000 0.5000 0.0000

---

(21)
Nd3SmTl3 PBE-GGA relaxed; total magnetization = 0.0000 μB/atom; E_tot = -4.016 eV per atom; E_form = -0.285 eV per atom; crystal system = cubic; energy above the most stable polymorph in this dataset = 0.000 eV per atom; DOS(E_F) = 34.0 states/eV per cell
1.0
9.6002 0.0000 0.0000
0.0000 9.6002 0.0000
0.0000 0.0000 9.6002
Nd Sm Tl
12 4 12
direct
0.0723 0.4277 0.5723
0.1754 0.8246 0.3246
0.1761 0.1761 0.1761
0.3239 0.8239 0.6761
0.3246 0.1754 0.8246
0.4277 0.5723 0.0723
0.5723 0.0723 0.4277
0.6754 0.6754 0.6754
0.6761 0.3239 0.8239
0.8239 0.6761 0.3239
0.8246 0.3246 0.1754
0.9277 0.9277 0.9277
0.0734 0.5734 0.9266
0.4266 0.4266 0.4266
0.5734 0.9266 0.0734
0.9266 0.0734 0.5734
0.0005 0.2515 0.8723
0.9995 0.7515 0.6277
0.1277 0.5005 0.2485
0.2485 0.1277 0.5005
0.2515 0.8723 0.0005
0.3723 0.4995 0.7485
0.5005 0.2485 0.1277
0.4995 0.7485 0.3723
0.6277 0.9995 0.7515
0.7485 0.3723 0.4995
0.7515 0.6277 0.9995
0.8723 0.0005 0.2515